An optimized crystal structure of NbAlFeHg. Source: OQMD via LeMat-Bulk, functional PBE-GGA.

a = 6.4059 Å, b = 6.4059 Å, c = 6.4059 Å
α = 90.00°, β = 90.00°, γ = 90.00°
Closest atoms and distances in Å follow each position.
Space group F-43m (No. 216)
Inequivalent atoms, fractional coordinates:
1 Nb 0.0000 0.0000 0.0000 x4  4 Fe 2.77, 4 Hg 2.77
2 Al 0.0000 0.0000 0.5000 x4  4 Hg 2.77, 4 Fe 2.77
3 Fe 0.2500 0.2500 0.2500 x4  4 Nb 2.77, 4 Al 2.77
4 Hg 0.2500 0.2500 0.7500 x4  4 Nb 2.77, 4 Al 2.77

Properties
* calculated volume: 65.72 Å³/f.u.
* E_tot: -5.38 eV per atom